Below is RbCuPdSe6 after structural relaxation, with properties calculated at the PBE-GGA level.

Cell lengths 8.9828, 8.9828, 8.9828 Å; angles 129.23, 120.98, 81.53 degrees
Closest atoms and distances in Å follow each position.
Fractional coordinates of all 18 atoms:
Rb 0.4129 0.1629 0.2500  6 Se 3.36-3.52
Rb 0.5871 0.8371 0.7500  6 Se 3.36-3.52
Cu 0.0000 0.0000 0.5000  4 Se 2.42
Cu 0.0000 0.5000 0.0000  4 Se 2.42
Pd 0.0000 0.5000 0.5000  6 Se 2.53-2.55
Pd 0.5000 0.5000 0.0000  6 Se 2.53-2.55
Se 0.0752 0.3912 0.2118  1 Cu 2.42, 1 Pd 2.55
Se 0.0752 0.8635 0.6840  1 Cu 2.42, 1 Pd 2.55
Se 0.1542 0.9042 0.2500  4 Se 2.72, 2 Cu 2.85
Se 0.3206 0.1365 0.7118  1 Cu 2.42, 1 Pd 2.55
Se 0.3206 0.6088 0.1840  1 Cu 2.42, 1 Pd 2.55
Se 0.3399 0.5899 0.7500  2 Pd 2.53
Se 0.6601 0.4101 0.2500  2 Pd 2.53
Se 0.6794 0.3912 0.8160  1 Cu 2.42, 1 Pd 2.55
Se 0.6794 0.8635 0.2882  1 Cu 2.42, 1 Pd 2.55
Se 0.8458 0.0958 0.7500  4 Se 2.72, 2 Cu 2.85
Se 0.9248 0.1365 0.3160  1 Cu 2.42, 1 Pd 2.55
Se 0.9248 0.6088 0.7882  1 Cu 2.42, 1 Pd 2.55

symmetry	Imma
raw total energy	-3.68	eV/atom
formation energy (no corrections)	-0.215	eV per atom



Below is RbCuPd2Se after structural relaxation, with properties calculated at the PBE-GGA level.

Cell lengths 4.9608, 4.9608, 4.5444 Å; angles 90.00, 90.00, 90.00 degrees
Closest atoms and distances in Å follow each position.
Fractional coordinates of all 5 atoms:
Rb 0.0000 0.0000 0.0000  8 Pd 3.36, 4 Se 3.51
Cu 0.5000 0.5000 0.5000  2 Se 2.27, 4 Pd 2.48
Pd 0.0000 0.5000 0.5000  2 Cu 2.48
Pd 0.5000 0.0000 0.5000  2 Cu 2.48
Se 0.5000 0.5000 0.0000  2 Cu 2.27

symmetry	P4/mmm
raw total energy	-3.63	eV/atom
formation energy (no corrections)	0.160	eV per atom



Below is RbCuTe2Pd after structural relaxation, with properties calculated at the PBE-GGA level.

Cell lengths 7.8184, 6.1115, 6.7230 Å; angles 90.00, 110.94, 90.00 degrees
Closest atoms and distances in Å follow each position.
Fractional coordinates of all 10 atoms:
Rb 0.0000 0.2151 0.2500  6 Te 3.60-3.88, 2 Cu 3.89, 2 Pd 4.03
Rb 0.0000 0.7849 0.7500  6 Te 3.60-3.88, 2 Cu 3.89, 2 Pd 4.03
Cu 0.5000 0.0000 0.0000  2 Te 2.47
Cu 0.5000 0.0000 0.5000  2 Te 2.47
Te 0.2888 0.3079 0.8474  1 Cu 2.47, 2 Pd 2.65-2.76
Te 0.2888 0.6921 0.3474  1 Cu 2.47, 2 Pd 2.65-2.76
Te 0.7112 0.3079 0.6526  1 Cu 2.47, 2 Pd 2.65-2.76
Te 0.7112 0.6921 0.1526  1 Cu 2.47, 2 Pd 2.65-2.76
Pd 0.5000 0.3767 0.2500  4 Te 2.65-2.76, 2 Cu 2.85
Pd 0.5000 0.6233 0.7500  4 Te 2.65-2.76, 2 Cu 2.85

symmetry	P2/c
raw total energy	-3.66	eV/atom
formation energy (no corrections)	-0.349	eV per atom



Below is RbCuTe6Pd after structural relaxation, with properties calculated at the PBE-GGA level.

Cell lengths 9.5512, 9.5512, 9.5512 Å; angles 126.22, 119.06, 85.60 degrees
Closest atoms and distances in Å follow each position.
Fractional coordinates of all 18 atoms:
Rb 0.4050 0.1550 0.2500  6 Te 3.60-3.70
Rb 0.5950 0.8450 0.7500  6 Te 3.60-3.70
Cu 0.0000 0.0000 0.5000  6 Te 2.64-2.93
Cu 0.0000 0.5000 0.0000  6 Te 2.64-2.93
Te 0.0932 0.4007 0.2308  1 Cu 2.64, 1 Pd 2.74
Te 0.0932 0.8625 0.6925  1 Cu 2.64, 1 Pd 2.74
Te 0.1412 0.8912 0.2500  2 Cu 2.93, 4 Te 3.12
Te 0.3300 0.1375 0.7308  1 Cu 2.64, 1 Pd 2.74
Te 0.3300 0.5993 0.1925  1 Cu 2.64, 1 Pd 2.74
Te 0.3378 0.5878 0.7500  2 Pd 2.72
Te 0.6622 0.4122 0.2500  2 Pd 2.72
Te 0.6700 0.4007 0.8075  1 Cu 2.64, 1 Pd 2.74
Te 0.6700 0.8625 0.2692  1 Cu 2.64, 1 Pd 2.74
Te 0.8588 0.1088 0.7500  2 Cu 2.93, 4 Te 3.12
Te 0.9068 0.1375 0.3075  1 Cu 2.64, 1 Pd 2.74
Te 0.9068 0.5993 0.7692  1 Cu 2.64, 1 Pd 2.74
Pd 0.0000 0.5000 0.5000  6 Te 2.72-2.74
Pd 0.5000 0.5000 0.0000  6 Te 2.72-2.74

symmetry	Imma
raw total energy	-3.44	eV/atom
formation energy (no corrections)	-0.205	eV per atom